# 1
! KInP2O6 (GGA-PBE, relaxed); values from VASP
! - raw total energy (eV/atom) = -6.37
&SYSTEM
  ibrav = 0, nat = 20, ntyp = 4
/
ATOMIC_SPECIES
K 39.10 K.upf
In 114.82 In.upf
P 30.97 P.upf
O 16.00 O.upf
CELL_PARAMETERS angstrom
5.350 -5.927 0.000
5.350 5.927 0.000
-1.394 0.000 5.489
ATOMIC_POSITIONS angstrom
K 4.304 4.903 4.117
K 5.002 -4.903 1.372
In 5.002 1.066 1.372
In 4.304 -1.066 4.117
P 1.867 2.249 3.751
P 2.564 -2.249 1.007
P 6.742 2.249 4.482
P 7.439 -2.249 1.738
O 0.856 1.156 3.784
O 2.728 2.234 2.299
O 2.793 2.507 4.905
O 1.554 -1.156 1.039
O 5.816 2.507 3.328
O 2.031 -2.234 5.043
O 7.275 2.234 0.445
O 3.490 -2.507 2.160
O 7.752 1.156 4.449
O 6.513 -2.507 0.584
O 6.578 -2.234 3.190
O 8.450 -1.156 1.705

=====

# 2
! KInPO2 (GGA-PBE, relaxed); values from VASP
! - raw total energy (eV/atom) = -4.04
! - excess energy over the best structure of this formula in the dataset (meV per atom) = 0
&SYSTEM
  ibrav = 0, nat = 5, ntyp = 4
/
ATOMIC_SPECIES
K 39.10 K.upf
In 114.82 In.upf
P 30.97 P.upf
O 16.00 O.upf
CELL_PARAMETERS angstrom
4.397 0.000 0.000
0.000 4.397 0.000
0.000 0.000 5.220
ATOMIC_POSITIONS angstrom
K 0.000 0.000 0.000
In 2.198 2.198 2.610
P 2.198 2.198 0.000
O 0.000 2.198 2.610
O 2.198 0.000 2.610

=====

# 3
! KInP2O (GGA-PBE, relaxed); values from VASP
! - raw total energy (eV/atom) = -2.63
! - excess energy over the best structure of this formula in the dataset (meV per atom) = 1034
&SYSTEM
  ibrav = 0, nat = 5, ntyp = 4
/
ATOMIC_SPECIES
K 39.10 K.upf
In 114.82 In.upf
P 30.97 P.upf
O 16.00 O.upf
CELL_PARAMETERS angstrom
5.479 0.000 0.000
0.000 5.479 0.000
0.000 0.000 4.399
ATOMIC_POSITIONS angstrom
K 0.000 0.000 0.000
In 2.739 2.739 2.200
P 0.000 2.739 0.000
P 2.739 0.000 0.000
O 0.000 0.000 2.200